No. 1
Computed, not measured: an optimized crystal structure of CaV3Ir at the PBE level of DFT.

Summary:
Excess energy over the best structure of this formula in the dataset (eV per atom): 0.000
E_form (meV/atom): 643

Lattice parameters (Å, degrees): 4.785 4.785 4.785 90.00 90.00 90.00
Space group Pm-3m (No. 221)
One atom of each set of equivalent atoms:
Ca1 0.000 0.000 0.000 x1
V1 0.000 0.500 0.500 x3
Ir1 0.500 0.500 0.500 x1

---

No. 2
Computed, not measured: an optimized crystal structure of CaV2Ir2 at the PBE level of DFT.

Summary:
Excess energy over the best structure of this formula in the dataset (eV per atom): 0.000
E_form (meV/atom): -416

Lattice parameters (Å, degrees): 4.243 4.243 10.232 90.00 90.00 90.00
Space group I4/mmm (No. 139)
One atom of each set of equivalent atoms:
Ca1 0.000 0.000 0.000 x2
V1 0.000 0.500 0.250 x4
Ir1 0.000 0.000 0.372 x4

---

No. 3
Computed, not measured: an optimized crystal structure of Ca2VIr at the PBE level of DFT.

Summary:
Excess energy over the best structure of this formula in the dataset (eV per atom): 0.000
E_form (meV/atom): 293

Lattice parameters (Å, degrees): 10.448 10.448 4.739 90.00 90.00 90.00
Space group I-42d (No. 122)
One atom of each set of equivalent atoms:
Ca1 0.090 0.250 0.125 x8
V1 0.000 0.000 0.500 x4
Ir1 0.000 0.000 0.000 x4

---

No. 4
Computed, not measured: an optimized crystal structure of Ca2IrW at the PBE level of DFT.

Summary:
Excess energy over the best structure of this formula in the dataset (eV per atom): 0.792
E_form (meV/atom): 841

Lattice parameters (Å, degrees): 7.015 7.015 7.015 90.00 90.00 90.00
Space group Fm-3m (No. 225)
One atom of each set of equivalent atoms:
Ca1 0.250 0.250 0.250 x8
Ir1 0.000 0.000 0.000 x4
W1 0.000 0.000 0.500 x4

---

No. 5
Computed, not measured: an optimized crystal structure of Ca2IrW at the PBE level of DFT.

Summary:
Excess energy over the best structure of this formula in the dataset (eV per atom): 0.239
E_form (meV/atom): 288

Lattice parameters (Å, degrees): 3.718 5.145 10.057 90.00 90.00 90.00
Space group Imm2 (No. 44)
One atom of each set of equivalent atoms:
Ca1 0.000 0.000 0.000 x2
Ca2 0.000 0.500 0.218 x2
Ir1 0.000 0.500 0.764 x2
W1 0.000 0.000 0.416 x2

---

No. 6
Computed, not measured: an optimized crystal structure of Ca2IrW at the PBE level of DFT.

Summary:
Excess energy over the best structure of this formula in the dataset (eV per atom): 0.581
E_form (meV/atom): 630

Lattice parameters (Å, degrees): 3.0872 3.0872 29.3001 90.00 90.00 120.00
Space group R-3m (No. 166, hexagonal axes)
One atom of each set of equivalent atoms:
Ca1 0.0000 0.0000 0.2436 x6
Ir1 0.0000 0.0000 0.5000 x3
W1 0.0000 0.0000 0.0000 x3

---

Please write out number 4 again, unchanged.
Computed, not measured: an optimized crystal structure of Ca2IrW at the PBE level of DFT.

Summary:
Excess energy over the best structure of this formula in the dataset (eV per atom): 0.792
E_form (meV/atom): 841

Lattice parameters (Å, degrees): 7.015 7.015 7.015 90.00 90.00 90.00
Space group Fm-3m (No. 225)
One atom of each set of equivalent atoms:
Ca1 0.250 0.250 0.250 x8
Ir1 0.000 0.000 0.000 x4
W1 0.000 0.000 0.500 x4

---

- Look up the excess energy over the best structure of this formula in the dataset of the first one.
  0.000 eV per atom